Entry 1:
## MnTlIN2 (PBE)

Data for MnTlIN2 after structural relaxation.

## Properties
raw formation energy: 1.85 eV per atom
polymorph energy (0 for the lowest one): 784 meV/atom

Lattice parameters (Å, degrees): 4.280 4.280 6.876 90.00 90.00 90.00
Space group P4/mmm (No. 123)
One atom of each set of equivalent atoms:
Mn 0.000 0.000 0.000 (multiplicity 1)
Tl 0.500 0.500 0.500 (multiplicity 1)
I 0.500 0.500 0.000 (multiplicity 1)
N 0.000 0.500 0.500 (multiplicity 2)


Entry 2:
## Pr2HgPb9 (PBE)

Data for Pr2HgPb9 after structural relaxation.

## Properties
formation energy: -239 meV per atom

Lattice parameters (Å, degrees): 4.828 4.828 15.601 90.00 90.00 90.00
Space group P4/mmm (No. 123)
One atom of each set of equivalent atoms:
Pr 0.000 0.000 0.155 (multiplicity 2)
Hg 0.000 0.000 0.500 (multiplicity 1)
Pb 0.000 0.500 0.000 (multiplicity 2)
Pb 0.000 0.500 0.334 (multiplicity 4)
Pb 0.500 0.500 0.172 (multiplicity 2)
Pb 0.500 0.500 0.500 (multiplicity 1)


Entry 3:
## Y5Tl4Sn (PBE)

Data for Y5Tl4Sn after structural relaxation.

## Properties
formation energy: -426 meV per atom

Lattice parameters (Å, degrees): 3.640 3.640 20.545 90.00 90.00 90.00
Space group P4/mmm (No. 123)
One atom of each set of equivalent atoms:
Y 0.000 0.000 0.000 (multiplicity 1)
Y 0.000 0.000 0.200 (multiplicity 2)
Y 0.000 0.000 0.402 (multiplicity 2)
Tl 0.500 0.500 0.100 (multiplicity 2)
Tl 0.500 0.500 0.299 (multiplicity 2)
Sn 0.500 0.500 0.500 (multiplicity 1)


Entry 4:
## TcGeH2 (PBE)

Data for TcGeH2 after structural relaxation.

## Properties
polymorph energy (0 for the lowest one): 0 meV/atom

Lattice parameters (Å, degrees): 3.110 9.259 5.301 90.00 90.00 90.00
Space group Cmcm (No. 63)
One atom of each set of equivalent atoms:
Tc 0.000 0.227 0.250 (multiplicity 4)
Ge 0.000 0.055 0.750 (multiplicity 4)
H 0.000 0.329 0.556 (multiplicity 8)


Entry 5:
## Co2SiNi (PBE)

Data for Co2SiNi after structural relaxation.

## Properties
raw formation energy: -0.11 eV per atom

Lattice parameters (Å, degrees): 2.5741 2.5741 23.1968 90.00 90.00 120.00
Space group R3m (No. 160, hexagonal axes)
One atom of each set of equivalent atoms:
Co 0.0000 0.0000 0.0000 (multiplicity 3)
Co 0.0000 0.0000 0.2482 (multiplicity 3)
Si 0.0000 0.0000 0.7462 (multiplicity 3)
Ni 0.0000 0.0000 0.4927 (multiplicity 3)


Entry 6:
## AcSmMgAl (PBE)

Data for AcSmMgAl after structural relaxation.

## Properties
formation energy: -177 meV per atom

Lattice parameters (Å, degrees): 7.784 7.784 7.784 90.00 90.00 90.00
Space group F-43m (No. 216)
One atom of each set of equivalent atoms:
Ac 0.000 0.000 0.000 (multiplicity 4)
Sm 0.000 0.000 0.500 (multiplicity 4)
Mg 0.250 0.250 0.250 (multiplicity 4)
Al 0.250 0.250 0.750 (multiplicity 4)


Entry 7:
## Ca2AlAgI (PBE)

Data for Ca2AlAgI after structural relaxation.

## Properties
raw formation energy: 0.17 eV per atom

Lattice parameters (Å, degrees): 5.903 5.903 5.688 90.00 90.00 90.00
Space group P4/mmm (No. 123)
One atom of each set of equivalent atoms:
Ca 0.000 0.500 0.000 (multiplicity 2)
Al 0.000 0.000 0.000 (multiplicity 1)
Ag 0.500 0.500 0.500 (multiplicity 1)
I 0.000 0.000 0.500 (multiplicity 1)


Entry 8:
## BeZnRh2 (PBE)

Data for BeZnRh2 after structural relaxation.

## Properties
formation energy: -270 meV per atom
polymorph energy (0 for the lowest one): 194 meV/atom

Lattice parameters (Å, degrees): 2.853 2.853 6.179 90.00 90.00 90.00
Space group P4mm (No. 99)
One atom of each set of equivalent atoms:
Be 0.000 0.000 0.000 (multiplicity 1)
Zn 0.500 0.500 0.754 (multiplicity 1)
Rh 0.000 0.000 0.490 (multiplicity 1)
Rh 0.500 0.500 0.184 (multiplicity 1)


Entry 9:
## TaCuAs2Br (PBE)

Data for TaCuAs2Br after structural relaxation.

## Properties
raw formation energy: 0.53 eV per atom
polymorph energy (0 for the lowest one): 0 meV/atom

Lattice parameters (Å, degrees): 5.012 5.012 5.152 90.00 90.00 90.00
Space group P4/mmm (No. 123)
One atom of each set of equivalent atoms:
Ta 0.000 0.000 0.000 (multiplicity 1)
Cu 0.500 0.500 0.500 (multiplicity 1)
As 0.000 0.500 0.000 (multiplicity 2)
Br 0.000 0.000 0.500 (multiplicity 1)


Entry 10:
## Be2AlS (PBE)

Data for Be2AlS after structural relaxation.

## Properties
raw formation energy: 0.11 eV per atom
polymorph energy (0 for the lowest one): 0 meV/atom

Lattice parameters (Å, degrees): 5.519 5.519 8.782 90.00 90.00 90.00
Space group I-42d (No. 122)
One atom of each set of equivalent atoms:
Be 0.194 0.250 0.125 (multiplicity 8)
Al 0.000 0.000 0.500 (multiplicity 4)
S 0.000 0.000 0.000 (multiplicity 4)


Entry 11:
## KOs2 (PBE)

Data for KOs2 after structural relaxation.

## Properties
formation energy: 1539 meV per atom
polymorph energy (0 for the lowest one): 763 meV/atom

Lattice parameters (Å, degrees): 5.497 8.424 2.615 90.00 90.00 90.00
Space group Cmmm (No. 65)
One atom of each set of equivalent atoms:
K 0.000 0.000 0.000 (multiplicity 2)
Os 0.000 0.362 0.500 (multiplicity 4)


Entry 12:
## Li6TiB3O9 (PBE)

Data for Li6TiB3O9 after structural relaxation.

## Properties
raw formation energy: -2.31 eV per atom

Lattice parameters (Å, degrees): 7.076 16.258 6.594 90.00 105.23 90.00
Space group P2_1/c (No. 14)
One atom of each set of equivalent atoms:
Li 0.037 0.033 0.168 (multiplicity 4)
Li 0.079 0.707 0.049 (multiplicity 4)
Li 0.189 0.534 0.053 (multiplicity 4)
Li 0.231 0.209 0.858 (multiplicity 4)
Li 0.364 0.054 0.911 (multiplicity 4)
Li 0.432 0.006 0.323 (multiplicity 4)
Ti 0.418 0.683 0.834 (multiplicity 4)
B 0.065 0.617 0.694 (multiplicity 4)
B 0.225 0.126 0.501 (multiplicity 4)
B 0.415 0.638 0.349 (multiplicity 4)
O 0.043 0.091 0.420 (multiplicity 4)
O 0.087 0.700 0.739 (multiplicity 4)
O 0.102 0.079 0.922 (multiplicity 4)
O 0.233 0.572 0.779 (multiplicity 4)
O 0.258 0.207 0.563 (multiplicity 4)
O 0.376 0.696 0.190 (multiplicity 4)
O 0.395 0.079 0.538 (multiplicity 4)
O 0.396 0.555 0.313 (multiplicity 4)
O 0.490 0.663 0.557 (multiplicity 4)